(1)
A relaxed structure of ZrMnRe, computed with PBE.

a = 4.400 Å, b = 4.400 Å, c = 4.400 Å
α = 60.00°, β = 60.00°, γ = 60.00°
Fractional coordinates of all 3 atoms:
Re 0.500 0.500 0.500
Zr 0.750 0.750 0.750
Mn 0.000 0.000 0.000

- ΔE to the lowest computed polymorph: 1440 meV per atom
- Space group: F-43m (216)
- Energy relative to the elements: 1.14 eV per atom
- V: 60.25 Å³ per cell



(2)
A relaxed structure of RbSi2GeBi, computed with PBE.

a = 5.443 Å, b = 6.115 Å, c = 5.443 Å
α = 90.00°, β = 90.00°, γ = 90.00°
Fractional coordinates of all 5 atoms:
Si 0.500 0.000 0.000
Si 0.000 0.000 0.500
Rb 0.000 0.000 0.000
Bi 0.000 0.500 0.000
Ge 0.500 0.500 0.500

- Space group: P4/mmm (123)
- Formation energy without anion corrections: 10.1 eV/f.u.
- V: 181.20 Å³ per cell



> Number 2 is which compound?

RbSi2GeBi



> Which value of V does entry 1 give?

60.25 Å³ per cell



> The highest V belongs to which entry?

RbSi2GeBi



> Which of these has the lowest V?

ZrMnRe